# 1
## Na2CuAsS4 (PBE)

Data for Na2CuAsS4 after structural relaxation.

Unit cell a=9.041 b=9.023 c=6.390 alpha=90.00 beta=134.96 gamma=90.00
Space group C2 (No. 5)
Unique sites:
Na1 0.000 0.000 0.000 [2 per cell]
Na2 0.000 0.250 0.500 [2 per cell]
Cu1 0.000 0.498 0.000 [2 per cell]
As1 0.000 0.749 0.500 [2 per cell]
S1 0.175 0.614 0.442 [4 per cell]
S2 0.233 0.884 0.908 [4 per cell]

Results
ΔE_f (raw)   -0.56 eV per atom

***

# 2
## Tb2Pm2Pr4Mg (PBE)

Data for Tb2Pm2Pr4Mg after structural relaxation.

Unit cell a=5.922 b=6.813 c=8.810 alpha=80.38 beta=70.82 gamma=65.19
Space group P-1 (No. 2)
Unique sites:
Tb1 0.174 0.226 0.036 [2 per cell]
Pm1 0.429 0.885 0.712 [2 per cell]
Pr1 0.213 0.483 0.619 [2 per cell]
Pr2 0.271 0.696 0.169 [2 per cell]
Mg1 0.000 0.000 0.500 [1 per cell]

Results
Uncorrected energy   -4.339 eV/atom

***

# 3
## Hf2ZrBe (PBE)

Data for Hf2ZrBe after structural relaxation.

Unit cell a=4.032 b=4.032 c=19.920 alpha=90.00 beta=90.00 gamma=90.00
Space group I-42d (No. 122)
Unique sites:
Hf1 0.244 0.250 0.125 [8 per cell]
Zr1 0.000 0.000 0.500 [4 per cell]
Be1 0.000 0.000 0.000 [4 per cell]

Results
Uncorrected energy   -7.544 eV/atom

***

# 4
## TiMn3Ge (PBE)

Data for TiMn3Ge after structural relaxation.

Unit cell a=4.590 b=4.590 c=4.590 alpha=90.00 beta=90.00 gamma=90.00
Space group Pm-3m (No. 221)
Unique sites:
Ti1 0.000 0.000 0.000 [1 per cell]
Mn1 0.000 0.000 0.500 [3 per cell]
Ge1 0.500 0.500 0.500 [1 per cell]

Results
Uncorrected energy   -6.927 eV/atom

***

# 5
## Rb2AlVBr6 (PBE)

Data for Rb2AlVBr6 after structural relaxation.

Unit cell a=10.715 b=10.715 c=10.715 alpha=90.00 beta=90.00 gamma=90.00
Space group Fm-3m (No. 225)
Unique sites:
Rb1 0.250 0.250 0.250 [8 per cell]
Al1 0.000 0.000 0.000 [4 per cell]
V1 0.000 0.000 0.500 [4 per cell]
Br1 0.000 0.000 0.249 [24 per cell]

Results
ΔE_f (raw)   -1.11 eV per atom

***

# 6
## CeZrBiTe (PBE)

Data for CeZrBiTe after structural relaxation.

Unit cell a=7.482 b=7.482 c=7.482 alpha=90.00 beta=90.00 gamma=90.00
Space group F-43m (No. 216)
Unique sites:
Ce1 0.000 0.000 0.000 [4 per cell]
Zr1 0.000 0.000 0.500 [4 per cell]
Bi1 0.250 0.250 0.250 [4 per cell]
Te1 0.250 0.250 0.750 [4 per cell]

Results
ΔE_f (raw)   -0.68 eV per atom